Record 1
Density functional theory data (PBE-GGA) for a geometry-optimized Na2TaAgH structure.

a b c (Å): 4.390 4.390 4.446
angles (deg): 90.00 90.00 90.00
Atoms (fractional coordinates):
Na1 0.000 0.500 0.000
Na2 0.500 0.000 0.000
Ta1 0.000 0.000 0.500
Ag1 0.500 0.500 0.500
H1 0.000 0.000 0.000

Energy   -17.47 eV for the cell shown
SG   P4/mmm (123)
Total magnetic moment   2.5 μB per formula unit


Record 2
Density functional theory data (PBE-GGA) for a geometry-optimized K2SrTlIn structure.

a b c (Å): 12.494 4.748 7.430
angles (deg): 90.00 97.33 90.00
Atoms (fractional coordinates):
K1 0.000 0.000 0.000
K2 0.209 0.500 0.814
K3 0.500 0.500 0.000
K4 0.709 0.000 0.814
Sr1 0.354 0.000 0.409
Sr2 0.854 0.500 0.409
Tl1 0.151 0.500 0.308
Tl2 0.651 0.000 0.308
In1 0.059 0.000 0.504
In2 0.559 0.500 0.504

Energy   -19.16 eV for the cell shown
Distance to the lowest polymorph of the same formula   0.10 eV per formula unit
Energy relative to the elements   -58 kJ/mol of formula units
SG   Cm (8)
Total magnetic moment   0.0 μB per formula unit


- Among the records above, which one has the highest energy?
  Na2TaAgH


- Among the records above, which one has the highest energy?
  Na2TaAgH


- What is the total magnetic moment in the second record?
  0.0 μB per formula unit


Please write out number 1 again, unchanged.
Density functional theory data (PBE-GGA) for a geometry-optimized Na2TaAgH structure.

a b c (Å): 4.390 4.390 4.446
angles (deg): 90.00 90.00 90.00
Atoms (fractional coordinates):
Na1 0.000 0.500 0.000
Na2 0.500 0.000 0.000
Ta1 0.000 0.000 0.500
Ag1 0.500 0.500 0.500
H1 0.000 0.000 0.000

Energy   -17.47 eV for the cell shown
SG   P4/mmm (123)
Total magnetic moment   2.5 μB per formula unit